Record 1
VASP calculation (PBE) on a relaxed Ce2TmSi6 crystal.

Summary:
ΔE_f (raw), meV/atom: -612
Space-group type: P6/mmm
M_tot, μB/cell: 0.0
Electronic total energy, eV per cell: -54.4
DOS at the Fermi energy, states/eV per atom: 0.8899

Structure (POSCAR):
```
Ce2TmSi6
1.0
4.0394 0.0000 0.0000
0.0000 6.0979 -3.5206
0.0000 0.0000 7.0413
Ce Tm Si
2 1 6
direct
0.0000 0.3333 0.6667 Ce
0.0000 0.6667 0.3333 Ce
0.0000 0.0000 0.0000 Tm
0.5000 0.0000 0.6679 Si
0.5000 0.3321 0.0000 Si
0.5000 0.3321 0.3321 Si
0.5000 0.0000 0.3321 Si
0.5000 0.6679 0.6679 Si
0.5000 0.6679 0.0000 Si
```


Record 2
VASP calculation (PBE) on a relaxed CeTmSi crystal.

Summary:
ΔE_f (raw), meV/atom: -241
Space-group type: P2/m
M_tot, μB/cell: 0.0
Electronic total energy, eV per cell: -33.1
DOS at the Fermi energy, states/eV per atom: 1.4563

Structure (POSCAR):
```
CeTmSi
1.0
3.2057 0.0000 0.0002
0.0003 6.9421 0.2472
0.0001 -1.5577 6.3252
Si Ce Tm
2 2 2
direct
0.0631 0.0649 0.9398 Si
0.0630 0.0634 0.3563 Si
0.5631 0.7424 0.0864 Ce
0.5630 0.3859 0.2096 Ce
0.5629 0.3113 0.6932 Tm
0.5632 0.8170 0.6029 Tm
```